Density functional theory data (PBE) for a relaxed structure of Pr8Ga3PCl4.

The structure in POSCAR format:
```
Pr8Ga3PCl4
1.0
8.558 0.000 0.000
0.000 8.516 -0.030
-4.279 -4.272 6.051
Pr Ga P Cl
8 3 1 4
direct
0.241 0.733 0.992 Pr
0.241 0.733 0.481 Pr
0.253 0.258 0.505 Pr
0.752 0.733 0.992 Pr
0.248 0.267 0.008 Pr
0.747 0.742 0.495 Pr
0.759 0.267 0.519 Pr
0.759 0.267 0.008 Pr
0.500 0.500 0.000 Ga
0.500 0.500 0.500 Ga
0.000 0.500 0.500 Ga
0.000 0.500 0.000 P
0.500 0.000 0.000 Cl
0.500 0.000 0.500 Cl
0.000 0.000 0.000 Cl
0.000 0.000 0.500 Cl
```

Values from the calculation:
ΔE_f (raw), eV per atom: -1.162
Calculated total energy, eV/atom: -4.92